{
  "formula": "Si2Pd",
  "functional": "GGA-PBE",
  "state": "relaxed",
  "lattice_angstrom": [[5.5299, 0.0000, 0.0025], [0.0000, 3.0893, 0.0000], [-0.0498, 0.0000, 5.1727]],
  "species": ["Si", "Si", "Si", "Si", "Pd", "Pd"],
  "frac_coords": [[0.3337, 0.0000, 0.1689], [0.6663, 0.0000, 0.8311], [0.3337, 0.5000, 0.6689], [0.6663, 0.5000, 0.3311], [0.0000, 0.5000, 0.0000], [0.0000, 0.0000, 0.5000]],
  "e_form_raw_ev_per_atom": -0.17,
  "energy_ev_per_atom": -5.51,
  "magnetic_moment_mub_per_fu": 0.000,
  "density_g_cm3": 6.11
}